P) The following is a PBE calculation of a geometry-optimized Ba4Si structure, from the Alexandria database.

The structure in CIF format:
```
data_Ba4Si
_chemical_formula_sum 'Ba8 Si2'
_space_group_name_H-M_alt 'I m -3 m'
_space_group_IT_number 229
_space_group_name_Hall '-I 4 2 3'
_cell_length_a 7.9650
_cell_length_b 7.9650
_cell_length_c 7.9650
_cell_angle_alpha 90.00
_cell_angle_beta 90.00
_cell_angle_gamma 90.00
loop_
_atom_site_label
_atom_site_fract_x
_atom_site_fract_y
_atom_site_fract_z
Ba1 0.2500 0.2500 0.2500
Si1 0.0000 0.0000 0.0000
```

***

Q) The following is a PBE calculation of a geometry-optimized Ba4Si structure, from the Alexandria database.

The structure in CIF format:
```
data_Ba4Si
_chemical_formula_sum 'Ba4 Si1'
_space_group_name_H-M_alt 'P m -3 m'
_space_group_IT_number 221
_space_group_name_Hall '-P 4 2 3'
_cell_length_a 6.5956
_cell_length_b 6.5956
_cell_length_c 6.5956
_cell_angle_alpha 90.00
_cell_angle_beta 90.00
_cell_angle_gamma 90.00
loop_
_atom_site_label
_atom_site_fract_x
_atom_site_fract_y
_atom_site_fract_z
Ba1 0.0000 0.0000 0.0000
Ba2 0.0000 0.5000 0.5000
Si1 0.5000 0.5000 0.5000
```

***

R) The following is a PBE calculation of a geometry-optimized Ba4Si structure, from the Alexandria database.

The structure in CIF format:
```
data_Ba4Si
_chemical_formula_sum 'Ba8 Si2'
_space_group_name_H-M_alt 'I 4/m m m'
_space_group_IT_number 139
_space_group_name_Hall '-I 4 2'
_cell_length_a 4.6918
_cell_length_b 4.6918
_cell_length_c 22.6192
_cell_angle_alpha 90.00
_cell_angle_beta 90.00
_cell_angle_gamma 90.00
loop_
_atom_site_label
_atom_site_fract_x
_atom_site_fract_y
_atom_site_fract_z
Ba1 0.0000 0.0000 0.0767
Ba2 0.0000 0.5000 0.2500
Si1 0.0000 0.0000 0.5000
```

***

Of them, Q) has the highest stability.

***

P) The following is a PBE calculation of a geometry-optimized Ba5Si structure, from the Alexandria database.

The structure in CIF format:
```
data_Ba5Si
_chemical_formula_sum 'Ba10 Si2'
_space_group_name_H-M_alt 'C 1 2/m 1'
_space_group_IT_number 12
_cell_length_a 15.0708
_cell_length_b 4.3473
_cell_length_c 10.6180
_cell_angle_alpha 90.00
_cell_angle_beta 114.45
_cell_angle_gamma 90.00
loop_
_space_group_symop_operation_xyz
'x,y,z'
'-x,-y,-z'
'-x,y,-z'
'x,-y,z'
'x+1/2,y+1/2,z'
'-x+1/2,-y+1/2,-z'
'-x+1/2,y+1/2,-z'
'x+1/2,-y+1/2,z'
loop_
_atom_site_label
_atom_site_fract_x
_atom_site_fract_y
_atom_site_fract_z
Ba1 0.0000 0.0000 0.0000
Ba2 0.1195 0.5000 0.3841
Ba3 0.1534 0.5000 0.7554
Si1 0.0000 0.0000 0.5000
```

***

Q) The following is a PBE calculation of a geometry-optimized Ba5Si structure, from the Alexandria database.

The structure in CIF format:
```
data_Ba5Si
_chemical_formula_sum 'Ba5 Si1'
_space_group_name_H-M_alt 'P -6 2 m'
_space_group_IT_number 189
_space_group_name_Hall 'P -6 -2'
_cell_length_a 8.8981
_cell_length_b 8.8981
_cell_length_c 4.8685
_cell_angle_alpha 90.00
_cell_angle_beta 90.00
_cell_angle_gamma 120.00
loop_
_atom_site_label
_atom_site_fract_x
_atom_site_fract_y
_atom_site_fract_z
Ba1 0.0000 0.7537 0.0000
Ba2 0.3333 0.6667 0.5000
Si1 0.0000 0.0000 0.5000
```

***

R) The following is a PBE calculation of a geometry-optimized Ba5Si structure, from the Alexandria database.

The structure in CIF format:
```
data_Ba5Si
_chemical_formula_sum 'Ba20 Si4'
_space_group_name_H-M_alt 'F -4 3 m'
_space_group_IT_number 216
_space_group_name_Hall 'F -4 2 3'
_cell_length_a 10.6490
_cell_length_b 10.6490
_cell_length_c 10.6490
_cell_angle_alpha 90.00
_cell_angle_beta 90.00
_cell_angle_gamma 90.00
loop_
_atom_site_label
_atom_site_fract_x
_atom_site_fract_y
_atom_site_fract_z
Ba1 0.0000 0.0000 0.0000
Ba2 0.1228 0.1228 0.6228
Si1 0.2500 0.2500 0.2500
```

***

Of them, P) has the highest stability.

***

P) The following is a PBE calculation of a geometry-optimized Ba3Si5 structure, from the Alexandria database.

The structure in CIF format:
```
data_Ba3Si5
_chemical_formula_sum 'Ba6 Si10'
_space_group_name_H-M_alt 'C m m m'
_space_group_IT_number 65
_space_group_name_Hall '-C 2 2'
_cell_length_a 9.4295
_cell_length_b 9.7330
_cell_length_c 4.6675
_cell_angle_alpha 90.00
_cell_angle_beta 90.00
_cell_angle_gamma 90.00
loop_
_atom_site_label
_atom_site_fract_x
_atom_site_fract_y
_atom_site_fract_z
Ba1 0.0000 0.0000 0.0000
Ba2 0.0000 0.2675 0.5000
Si1 0.0000 0.5000 0.0000
Si2 0.2412 0.5000 0.5000
Si3 0.2500 0.2500 0.0000
```

***

Q) The following is a PBE calculation of a geometry-optimized Ba3Si5 structure, from the Alexandria database.

The structure in CIF format:
```
data_Ba3Si5
_chemical_formula_sum 'Ba6 Si10'
_space_group_name_H-M_alt 'P 63/m c m'
_space_group_IT_number 193
_space_group_name_Hall '-P 6c 2'
_cell_length_a 10.5564
_cell_length_b 10.5564
_cell_length_c 4.7496
_cell_angle_alpha 90.00
_cell_angle_beta 90.00
_cell_angle_gamma 120.00
loop_
_atom_site_label
_atom_site_fract_x
_atom_site_fract_y
_atom_site_fract_z
Ba1 0.0000 0.3524 0.2500
Si1 0.0000 0.1367 0.7500
Si2 0.3333 0.6667 0.0000
```

***

Of them, Q) has the highest stability.

***

P) The following is a PBE calculation of a geometry-optimized BaSr3Si structure, from the Alexandria database.

The structure in CIF format:
```
data_BaSr3Si
_chemical_formula_sum 'Ba1 Sr3 Si1'
_space_group_name_H-M_alt 'P m -3 m'
_space_group_IT_number 221
_space_group_name_Hall '-P 4 2 3'
_cell_length_a 6.2669
_cell_length_b 6.2669
_cell_length_c 6.2669
_cell_angle_alpha 90.00
_cell_angle_beta 90.00
_cell_angle_gamma 90.00
loop_
_atom_site_label
_atom_site_fract_x
_atom_site_fract_y
_atom_site_fract_z
Ba1 0.0000 0.0000 0.0000
Sr1 0.0000 0.0000 0.5000
Si1 0.5000 0.5000 0.5000
```

***

Q) The following is a PBE calculation of a geometry-optimized BaSr3Si structure, from the Alexandria database.

The structure in CIF format:
```
data_BaSr3Si
_chemical_formula_sum 'Ba1 Sr3 Si1'
_space_group_name_H-M_alt 'P m -3 m'
_space_group_IT_number 221
_space_group_name_Hall '-P 4 2 3'
_cell_length_a 6.2540
_cell_length_b 6.2540
_cell_length_c 6.2540
_cell_angle_alpha 90.00
_cell_angle_beta 90.00
_cell_angle_gamma 90.00
loop_
_atom_site_label
_atom_site_fract_x
_atom_site_fract_y
_atom_site_fract_z
Ba1 0.0000 0.0000 0.0000
Sr1 0.0000 0.5000 0.5000
Si1 0.5000 0.5000 0.5000
```

***

Of them, Q) has the highest stability.

***

P) The following is a PBE calculation of a geometry-optimized BaSr3Si2 structure, from the Alexandria database.

The structure in CIF format:
```
data_BaSr3Si2
_chemical_formula_sum 'Ba4 Sr12 Si8'
_space_group_name_H-M_alt 'I b a m'
_space_group_IT_number 72
_space_group_name_Hall '-I 2 2c'
_cell_length_a 7.8488
_cell_length_b 15.6704
_cell_length_c 7.8786
_cell_angle_alpha 90.00
_cell_angle_beta 90.00
_cell_angle_gamma 90.00
loop_
_atom_site_label
_atom_site_fract_x
_atom_site_fract_y
_atom_site_fract_z
Ba1 0.0000 0.0000 0.0000
Sr1 0.0000 0.2422 0.2500
Sr2 0.0000 0.5000 0.2500
Si1 0.2127 0.3613 0.0000
```

***

Q) The following is a PBE calculation of a geometry-optimized BaSr3Si2 structure, from the Alexandria database.

The structure in CIF format:
```
data_BaSr3Si2
_chemical_formula_sum 'Ba2 Sr6 Si4'
_space_group_name_H-M_alt 'P m c 21'
_space_group_IT_number 26
_cell_length_a 5.1863
_cell_length_b 9.6614
_cell_length_c 8.3698
_cell_angle_alpha 90.00
_cell_angle_beta 90.00
_cell_angle_gamma 90.00
loop_
_space_group_symop_operation_xyz
'x,y,z'
'-x,-y,z+1/2'
'-x,y,z'
'x,-y,z+1/2'
loop_
_atom_site_label
_atom_site_fract_x
_atom_site_fract_y
_atom_site_fract_z
Ba1 0.0000 0.0773 0.0000
Sr1 0.0000 0.3306 0.6256
Sr2 0.5000 0.1755 0.3317
Sr3 0.5000 0.4248 0.9539
Si1 0.0000 0.3570 0.2394
Si2 0.5000 0.1497 0.7206
```

***

Of them, Q) has the highest stability.